Entry 1:
VASP calculation (PBE) on a relaxed structure of Na3LiIn6.

It has space group R-3m (No. 166, hexagonal axes), with a = 19.7813 Å, b = 19.7813 Å, c = 3.1256 Å, α = 90.00°, β = 90.00° and γ = 120.00°. The distinct sites, in fractional coordinates, are Na at (0.0000, 0.5000, 0.0000), Li at (0.0000, 0.0000, 0.5000) and In at (0.0843, 0.1686, 0.8124).

=====

Entry 2:
VASP calculation (PBE) on a relaxed structure of NaLiIn3.

It has space group P2_1/m (No. 11), with a = 7.132 Å, b = 4.516 Å, c = 8.124 Å, α = 90.00°, β = 107.23° and γ = 90.00°. The distinct sites, in fractional coordinates, are Na at (0.176, 0.250, 0.156), Li at (0.488, 0.250, 0.754), In at (0.071, 0.250, 0.658), In at (0.320, 0.750, 0.895) and In at (0.357, 0.750, 0.527).

The value obtained for the energy above the most stable polymorph in this dataset is 0.0 meV/atom.

=====

Entry 3:
VASP calculation (PBE) on a relaxed structure of NaLiIn2Ni.

It has space group P4/mmm (No. 123), with a = 4.921 Å, b = 4.921 Å, c = 5.269 Å, α = 90.00°, β = 90.00° and γ = 90.00°. The distinct sites, in fractional coordinates, are Na at (0.000, 0.000, 0.000), Li at (0.500, 0.500, 0.000), In at (0.000, 0.500, 0.500) and Ni at (0.000, 0.000, 0.500).

The value obtained for the energy above the most stable polymorph in this dataset is 103.3 meV/atom.

=====

Entry 4:
VASP calculation (PBE) on a relaxed structure of Na2LiIn12Ni3.

It has space group R-3m (No. 166, hexagonal axes), with a = 9.2738 Å, b = 9.2738 Å, c = 18.7598 Å, α = 90.00°, β = 90.00° and γ = 120.00°. The distinct sites, in fractional coordinates, are Na at (0.0000, 0.0000, 0.0781), Li at (0.0000, 0.0000, 0.5000), In at (0.0717, 0.5359, 0.3001), In at (0.0759, 0.5380, 0.8676) and Ni at (0.0000, 0.5000, 0.0000).

=====

| no. | E_form (meV/atom) | total magnetic moment (Bohr magnetons per cell) |
| --- | --- | --- |
| 1 | 8 | 0.0 |
| 2 | -136 | 0.0 |
| 3 | 17 | 0.0 |
| 4 | 18 | 0.0 |